Entry 1:
Crystalline LiTaIr2 at its relaxed geometry, computed with PBE-GGA.

Cell: 4.9212 4.9212 4.9212 Å, 135.18 134.91 65.46°
Last column: nearest neighbours and their distance in Å.
Atoms (fractional coordinates):
Li 0.0000 0.0000 0.0000  8 Ir 2.66-2.80, 4 Ta 2.79-2.80
Ta 0.2502 0.7502 0.5000  8 Ir 2.66-2.80, 4 Li 2.79-2.80
Ir 0.4999 0.4999 0.0000  4 Li 2.66, 4 Ta 2.79-2.80, 4 Ir 2.80
Ir 0.7503 0.2503 0.5000  4 Ta 2.66, 4 Li 2.79-2.80, 4 Ir 2.80

Calculated values
The calculation puts the total energy at -8.205 eV per atom. For the density, the calculation gives 16212 kg/m3. The crystal system is orthorhombic.

Entry 2:
Crystalline LiTaIr2 at its relaxed geometry, computed with PBE-GGA.

Cell: 2.7385 2.7385 9.5579 Å, 90.00 90.00 118.13°
Last column: nearest neighbours and their distance in Å.
Atoms (fractional coordinates):
Li 0.0000 0.0000 0.0000  2 Ir 2.60, 6 Li 2.74-2.82
Ta 0.5000 0.5000 0.7213  2 Ir 2.70, 6 Ta 2.74-2.82, 2 Li 3.01
Ir 0.0000 0.0000 0.4798  2 Ta 2.70, 8 Ir 2.74-2.82
Ir 0.5000 0.5000 0.2290  2 Li 2.60, 8 Ir 2.74-2.82

Calculated values
The calculation puts the total energy at -7.709 eV per atom. For the density, the calculation gives 15035 kg/m3. The crystal system is orthorhombic.

Entry 3:
Crystalline LiTa4Ir at its relaxed geometry, computed with PBE-GGA.

Cell: 5.3594 5.3594 5.3594 Å, 60.00 60.00 60.00°
Last column: nearest neighbours and their distance in Å.
Atoms (fractional coordinates):
Li 0.0000 0.0000 0.0000  12 Ta 3.14, 4 Ir 3.28
Ta 0.1244 0.6252 0.6252  6 Ta 2.68
Ta 0.6252 0.1244 0.6252  6 Ta 2.68
Ta 0.6252 0.6252 0.1244  6 Ta 2.68
Ta 0.6252 0.6252 0.6252  6 Ta 2.68
Ir 0.2500 0.2500 0.2500  12 Ta 3.14, 4 Li 3.28

Calculated values
The calculation puts the total energy at -9.269 eV per atom. For the density, the calculation gives 14079 kg/m3. The crystal system is cubic.

Entry 4:
Crystalline LiTaIr2 at its relaxed geometry, computed with PBE-GGA.

Cell: 2.7344 2.7344 8.3888 Å, 90.00 90.00 90.00°
Last column: nearest neighbours and their distance in Å.
Atoms (fractional coordinates):
Li 0.0000 0.0000 0.0000  4 Ir 2.72, 4 Li 2.73
Ta 0.5000 0.5000 0.2966  4 Ta 2.73, 4 Ir 2.86
Ir 0.0000 0.0000 0.5472  8 Ir 2.70-2.73, 4 Ta 2.86
Ir 0.5000 0.5000 0.7726  8 Ir 2.70-2.73, 4 Li 2.72

Calculated values
The calculation puts the total energy at -7.798 eV per atom. For the density, the calculation gives 15152 kg/m3. The crystal system is tetragonal.

Entry 5:
Crystalline LiTaIr2 at its relaxed geometry, computed with PBE-GGA.

Cell: 2.7694 4.0622 5.2704 Å, 90.00 90.00 90.00°
Last column: nearest neighbours and their distance in Å.
Atoms (fractional coordinates):
Li 0.0000 0.0000 0.0000  6 Ir 2.55-2.72, 2 Li 2.77
Ta 0.5000 0.5000 0.2803  6 Ir 2.49-2.78, 2 Ta 2.77
Ir 0.0000 0.0000 0.5158  2 Li 2.55-2.72, 4 Ta 2.75, 2 Ir 2.77
Ir 0.5000 0.5000 0.8072  2 Ta 2.49-2.78, 4 Li 2.66, 2 Ir 2.77

Calculated values
The calculation puts the total energy at -8.150 eV per atom. For the density, the calculation gives 16029 kg/m3. The crystal system is orthorhombic.

Entry 6:
Crystalline LiTaIr2 at its relaxed geometry, computed with PBE-GGA.

Cell: 2.7544 2.7544 8.9072 Å, 90.00 90.00 115.24°
Last column: nearest neighbours and their distance in Å.
Atoms (fractional coordinates):
Li 0.0000 0.0000 0.0000  4 Ir 2.65, 6 Li 2.75-2.95
Ta 0.0000 0.0000 0.5000  4 Ir 2.69, 6 Ta 2.75-2.95
Ir 0.5000 0.5000 0.2469  2 Li 2.65, 2 Ta 2.69, 6 Ir 2.75-2.95
Ir 0.5000 0.5000 0.7531  2 Li 2.65, 2 Ta 2.69, 6 Ir 2.75-2.95

Calculated values
The calculation puts the total energy at -8.044 eV per atom. For the density, the calculation gives 15548 kg/m3. The crystal system is orthorhombic.

Entry 7:
Crystalline LiTaTiIr at its relaxed geometry, computed with PBE-GGA.

Cell: 4.4216 4.4216 4.4216 Å, 60.00 60.00 60.00°
Last column: nearest neighbours and their distance in Å.
Atoms (fractional coordinates):
Li 0.0000 0.0000 0.0000  4 Ir 2.71, 4 Ti 2.71
Ta 0.5000 0.5000 0.5000  4 Ir 2.71, 4 Ti 2.71
Ti 0.2500 0.2500 0.2500  4 Ta 2.71, 4 Li 2.71
Ir 0.7500 0.7500 0.7500  4 Ta 2.71, 4 Li 2.71

Calculated values
The calculation puts the total energy at -7.833 eV per atom. For the density, the calculation gives 11626 kg/m3. The crystal system is cubic.

Entry 8:
Crystalline Li2Tb3Ir7 at its relaxed geometry, computed with PBE-GGA.

Cell: 8.9373 8.9373 8.9373 Å, 34.87 34.87 34.87°
Last column: nearest neighbours and their distance in Å.
Atoms (fractional coordinates):
Li 0.1642 0.1642 0.1642  6 Ir 2.56-2.63
Li 0.8358 0.8358 0.8358  6 Ir 2.56-2.63
Tb 0.3591 0.3591 0.3591  12 Ir 3.05-3.16, 3 Tb 3.35
Tb 0.5000 0.5000 0.5000  6 Li 3.09, 12 Ir 3.39
Tb 0.6409 0.6409 0.6409  12 Ir 3.05-3.16, 3 Tb 3.35
Ir 0.0000 0.0000 0.0000  6 Ir 2.63
Ir 0.0858 0.0858 0.5765  2 Li 2.56-2.63, 5 Ir 2.63-2.73
Ir 0.0858 0.5765 0.0858  2 Li 2.56-2.63, 5 Ir 2.63-2.73
Ir 0.4235 0.9142 0.9142  2 Li 2.56-2.63, 5 Ir 2.63-2.73
Ir 0.5765 0.0858 0.0858  2 Li 2.56-2.63, 5 Ir 2.63-2.73
Ir 0.9142 0.4235 0.9142  2 Li 2.56-2.63, 5 Ir 2.63-2.73
Ir 0.9142 0.9142 0.4235  2 Li 2.56-2.63, 5 Ir 2.63-2.73

Calculated values
The calculation puts the total energy at -7.230 eV per atom. For the density, the calculation gives 14640 kg/m3. The crystal system is trigonal.

Entry 9:
Crystalline LiTb2Ir at its relaxed geometry, computed with PBE-GGA.

Cell: 4.9366 4.9366 4.9366 Å, 60.00 60.00 60.00°
Last column: nearest neighbours and their distance in Å.
Atoms (fractional coordinates):
Li 0.0000 0.0000 0.0000  8 Tb 3.02
Tb 0.2500 0.2500 0.2500  4 Li 3.02, 4 Ir 3.02
Tb 0.7500 0.7500 0.7500  4 Li 3.02, 4 Ir 3.02
Ir 0.5000 0.5000 0.5000  8 Tb 3.02

Calculated values
The calculation puts the total energy at -5.560 eV per atom. For the density, the calculation gives 10092 kg/m3. The crystal system is cubic.

Entry 10:
Crystalline LiTb2Ir at its relaxed geometry, computed with PBE-GGA.

Cell: 10.1779 10.1779 10.1779 Å, 22.62 22.62 22.62°
Last column: nearest neighbours and their distance in Å.
Atoms (fractional coordinates):
Li 0.0000 0.0000 0.0000  2 Tb 3.47
Tb 0.1166 0.1166 0.1166  3 Ir 2.74
Tb 0.8834 0.8834 0.8834  3 Ir 2.74
Ir 0.5000 0.5000 0.5000  6 Tb 2.74

Calculated values
The calculation puts the total energy at -5.252 eV per atom. For the density, the calculation gives 6275 kg/m3. The crystal system is trigonal.

Entry 11:
Crystalline LiTb2Ir2 at its relaxed geometry, computed with PBE-GGA.

Cell: 5.6981 5.6981 7.9192 Å, 105.32 105.32 56.30°
Last column: nearest neighbours and their distance in Å.
Atoms (fractional coordinates):
Li 0.1392 0.8608 0.7500  4 Ir 2.62-2.63
Li 0.8608 0.1392 0.2500  4 Ir 2.62-2.63
Tb 0.1987 0.5099 0.3511  5 Ir 2.87-3.09, 1 Li 3.20
Tb 0.4901 0.8013 0.1489  5 Ir 2.87-3.09, 1 Li 3.20
Tb 0.5099 0.1987 0.8511  5 Ir 2.87-3.09, 1 Li 3.20
Tb 0.8013 0.4901 0.6489  5 Ir 2.87-3.09, 1 Li 3.20
Ir 0.0162 0.7151 0.9889  1 Ir 2.61, 2 Li 2.62-2.63, 3 Tb 2.87-2.92
Ir 0.2849 0.9838 0.5111  1 Ir 2.61, 2 Li 2.62-2.63, 3 Tb 2.87-2.92
Ir 0.7151 0.0162 0.4889  1 Ir 2.61, 2 Li 2.62-2.63, 3 Tb 2.87-2.92
Ir 0.9838 0.2849 0.0111  1 Ir 2.61, 2 Li 2.62-2.63, 3 Tb 2.87-2.92

Calculated values
The calculation puts the total energy at -6.414 eV per atom. For the density, the calculation gives 11542 kg/m3. The crystal system is monoclinic.

Entry 12:
Crystalline LiTb2Ir2 at its relaxed geometry, computed with PBE-GGA.

Cell: 5.4523 5.4523 5.4523 Å, 134.50 114.77 83.12°
Last column: nearest neighbours and their distance in Å.
Atoms (fractional coordinates):
Li 0.0000 0.0000 0.0000  4 Ir 2.65
Tb 0.2934 0.7934 0.5000  6 Ir 2.88-3.01, 2 Li 3.19
Tb 0.7066 0.2066 0.5000  6 Ir 2.88-3.01, 2 Li 3.19
Ir 0.2732 0.5000 0.7732  2 Li 2.65, 1 Ir 2.67, 2 Tb 2.88
Ir 0.7268 0.5000 0.2268  2 Li 2.65, 1 Ir 2.67, 2 Tb 2.88

Calculated values
The calculation puts the total energy at -6.448 eV per atom. For the density, the calculation gives 11646 kg/m3. The crystal system is orthorhombic.

E_form readings, ordered: -0.3334, 0.1630, 0.4282, 0.0740, -0.2781, -0.1720, -0.2023, -0.5845, -0.5516, -0.2434, -0.6348, -0.6682 eV/atom